Ac3HfSe6: relaxed, PBE-GGA.

The value obtained for the raw formation energy is -1.7353 eV per atom. The distance to the lowest polymorph of the same formula is 48.8 meV per atom.

The space group is Cmc2_1 (No. 36) and the conventional cell measures 12.0631, 14.8680 and 7.3644 Å, with angles of 90.00, 90.00 and 90.00 degrees. The inequivalent atoms are Ac at (0.0000, 0.1000, 0.0000), Ac at (0.1799, 0.4032, 0.9295), Hf at (0.0000, 0.3088, 0.3848), Se at (0.0000, 0.2782, 0.7257), Se at (0.0000, 0.4694, 0.2464), Se at (0.1608, 0.0233, 0.7135) and Se at (0.1618, 0.2385, 0.2198).